1.
# CaCo2P PBE relaxed
data_CaCo2P
_chemical_formula_sum 'Ca1 Co2 P1'
_cell_length_a 3.707
_cell_length_b 3.704
_cell_length_c 4.977
_cell_angle_alpha 90.00
_cell_angle_beta 90.08
_cell_angle_gamma 90.00
_symmetry_space_group_name_H-M 'P 1 m 1'
_symmetry_Int_Tables_number 6
_symmetry_space_group_name_Hall 'P -2y'
loop_
_atom_site_label
_atom_site_type_symbol
_atom_site_fract_x
_atom_site_fract_y
_atom_site_fract_z
_atom_site_occupancy
Ca1 Ca 0.000 0.000 0.000 1
Co1 Co 0.001 0.500 0.514 1
Co2 Co 0.501 0.000 0.514 1
P1 P 0.501 0.500 0.302 1
# Formation energy from the elements   -0.31 eV/atom
# V   17.1 A^3/atom
# Size of the total moment   0.57 μB/cell
# Crystal system   monoclinic


2.
# CdCuBiO4 PBE relaxed
data_CdCuBiO4
_chemical_formula_sum 'Cd4 Cu4 Bi4 O16'
_cell_length_a 6.122
_cell_length_b 6.751
_cell_length_c 10.020
_cell_angle_alpha 90.00
_cell_angle_beta 90.00
_cell_angle_gamma 90.00
_symmetry_space_group_name_H-M 'I m m a'
_symmetry_Int_Tables_number 74
_symmetry_space_group_name_Hall '-I 2b 2'
loop_
_atom_site_label
_atom_site_type_symbol
_atom_site_fract_x
_atom_site_fract_y
_atom_site_fract_z
_atom_site_occupancy
Cd1 Cd 0.000 0.250 0.175 1
Cu1 Cu 0.250 0.250 0.750 1
Bi1 Bi 0.000 0.000 0.500 1
O1 O 0.000 0.060 0.724 1
O2 O 0.234 0.250 0.472 1
# Energy relative to the elements, uncorrected   -0.830 eV/atom
# V   14.8 A^3/atom
# Size of the total moment   0.00 μB/cell
# Crystal system   orthorhombic


3.
# LaCr3Ag PBE relaxed
data_LaCr3Ag
_chemical_formula_sum 'La1 Cr3 Ag1'
_cell_length_a 5.003
_cell_length_b 5.003
_cell_length_c 5.003
_cell_angle_alpha 90.00
_cell_angle_beta 90.00
_cell_angle_gamma 90.00
_symmetry_space_group_name_H-M 'P m -3 m'
_symmetry_Int_Tables_number 221
_symmetry_space_group_name_Hall '-P 4 2 3'
loop_
_atom_site_label
_atom_site_type_symbol
_atom_site_fract_x
_atom_site_fract_y
_atom_site_fract_z
_atom_site_occupancy
La1 La 0.000 0.000 0.000 1
Cr1 Cr 0.000 0.500 0.500 1
Ag1 Ag 0.500 0.500 0.500 1
# Formation energy from the elements   1.09 eV/atom
# V   25.1 A^3/atom
# Size of the total moment   12.17 μB/cell
# Crystal system   cubic


4.
# Be5Ru3 PBE relaxed
data_Be5Ru3
_chemical_formula_sum 'Be10 Ru6'
_cell_length_a 6.7474
_cell_length_b 6.7474
_cell_length_c 4.3327
_cell_angle_alpha 90.00
_cell_angle_beta 90.00
_cell_angle_gamma 120.00
_symmetry_space_group_name_H-M 'P 63/m c m'
_symmetry_Int_Tables_number 193
_symmetry_space_group_name_Hall '-P 6c 2'
loop_
_atom_site_label
_atom_site_type_symbol
_atom_site_fract_x
_atom_site_fract_y
_atom_site_fract_z
_atom_site_occupancy
Be1 Be 0.0000 0.2161 0.2500 1
Be2 Be 0.3333 0.6667 0.0000 1
Ru1 Ru 0.0000 0.3784 0.7500 1
# Formation energy from the elements   -0.11 eV/atom
# V   10.7 A^3/atom
# Size of the total moment   0.00 μB/cell
# Crystal system   hexagonal


5.
# Cs2ReO6 PBE relaxed
data_Cs2ReO6
_chemical_formula_sum 'Cs4 Re2 O12'
_cell_length_a 13.071
_cell_length_b 6.691
_cell_length_c 4.428
_cell_angle_alpha 90.00
_cell_angle_beta 108.72
_cell_angle_gamma 90.00
_symmetry_space_group_name_H-M 'C 1 2/m 1'
_symmetry_Int_Tables_number 12
_symmetry_space_group_name_Hall '-C 2y'
loop_
_atom_site_label
_atom_site_type_symbol
_atom_site_fract_x
_atom_site_fract_y
_atom_site_fract_z
_atom_site_occupancy
Cs1 Cs 0.169 0.000 0.169 1
Re1 Re 0.000 0.500 0.500 1
O1 O 0.000 0.393 0.000 1
O2 O 0.108 0.308 0.608 1
# Energy relative to the elements, uncorrected   -1.033 eV/atom
# V   20.4 A^3/atom
# Size of the total moment   2.13 μB/cell
# Crystal system   monoclinic


6.
# Be2CoPt PBE relaxed
data_Be2CoPt
_chemical_formula_sum 'Be6 Co3 Pt3'
_cell_length_a 2.6680
_cell_length_b 2.6680
_cell_length_c 21.4639
_cell_angle_alpha 90.00
_cell_angle_beta 90.00
_cell_angle_gamma 120.00
_symmetry_space_group_name_H-M 'R -3 m'
_symmetry_Int_Tables_number 166
_symmetry_space_group_name_Hall '-R 3 2"'
loop_
_atom_site_label
_atom_site_type_symbol
_atom_site_fract_x
_atom_site_fract_y
_atom_site_fract_z
_atom_site_occupancy
Be1 Be 0.0000 0.0000 0.2442 1
Co1 Co 0.0000 0.0000 0.5000 1
Pt1 Pt 0.0000 0.0000 0.0000 1
# Formation energy from the elements   -0.18 eV/atom
# V   11.0 A^3/atom
# Size of the total moment   1.61 μB/cell
# Crystal system   trigonal


7.
# AcZnC2O8 PBE relaxed
data_AcZnC2O8
_chemical_formula_sum 'Ac2 Zn2 C4 O16'
_cell_length_a 10.691
_cell_length_b 5.173
_cell_length_c 6.104
_cell_angle_alpha 90.00
_cell_angle_beta 114.48
_cell_angle_gamma 90.00
_symmetry_space_group_name_H-M 'C 1 2/m 1'
_symmetry_Int_Tables_number 12
_symmetry_space_group_name_Hall '-C 2y'
loop_
_atom_site_label
_atom_site_type_symbol
_atom_site_fract_x
_atom_site_fract_y
_atom_site_fract_z
_atom_site_occupancy
Ac1 Ac 0.000 0.000 0.000 1
Zn1 Zn 0.000 0.500 0.500 1
C1 C 0.137 0.000 0.628 1
O1 O 0.058 0.500 0.105 1
O2 O 0.120 0.215 0.729 1
O3 O 0.161 0.000 0.443 1
# Energy relative to the elements, uncorrected   -1.599 eV/atom
# V   12.8 A^3/atom
# Size of the total moment   2.02 μB/cell
# Crystal system   monoclinic


8.
# La3Re2 PBE relaxed
data_La3Re2
_chemical_formula_sum 'La9 Re6'
_cell_length_a 5.0649
_cell_length_b 5.0649
_cell_length_c 15.3891
_cell_angle_alpha 90.00
_cell_angle_beta 90.00
_cell_angle_gamma 120.00
_symmetry_space_group_name_H-M 'R -3 m'
_symmetry_Int_Tables_number 166
_symmetry_space_group_name_Hall '-R 3 2"'
loop_
_atom_site_label
_atom_site_type_symbol
_atom_site_fract_x
_atom_site_fract_y
_atom_site_fract_z
_atom_site_occupancy
La1 La 0.0000 0.0000 0.0000 1
La2 La 0.0000 0.0000 0.4056 1
Re1 Re 0.0000 0.0000 0.1824 1
# Formation energy from the elements   0.51 eV/atom
# V   22.8 A^3/atom
# Size of the total moment   0.00 μB/cell
# Crystal system   trigonal


- Which formula does entry 2 have?
  CdCuBiO4


- Look up the size of the total moment of the sixth one.
  1.61 μB/cell